VASP calculation (PBE) on a relaxed Ti6Al2Co crystal.

Computed properties:
calculated total energy = -62.16 eV for the cell shown
ΔH_f (0 K) = -0.200 eV/f.u.

a b c (Å): 6.6186 6.6186 4.4603
angles (deg): 90.00 90.00 129.69
Closest atoms and distances in Å follow each position.
Positions (direct):
Ti 0.1000 0.3834 0.5000  1 Co 2.23
Ti 0.2383 0.2383 0.0000  2 Co 2.67, 6 Ti 2.68-2.94
Ti 0.3834 0.1000 0.5000  1 Co 2.23
Ti 0.6166 0.9000 0.5000  1 Co 2.23
Ti 0.7617 0.7617 0.0000  2 Co 2.67, 6 Ti 2.68-2.94
Ti 0.9000 0.6166 0.5000  1 Co 2.23
Al 0.2410 0.7590 0.0000  2 Al 2.82, 8 Ti 2.87-3.01
Al 0.7590 0.2410 0.0000  2 Al 2.82, 8 Ti 2.87-3.01
Co 0.5000 0.5000 0.5000  4 Ti 2.23